{
  "formula": "YTeSe2",
  "functional": "PBEsol",
  "state": "relaxed",
  "cell": [[1.9095, 1.1024, 8.6917], [-1.9095, 1.1024, 8.6917], [0.0000, -2.2049, 8.6917]],
  "species": ["Y", "Te", "Se", "Se"],
  "frac_coords": [[0.0000, 0.0000, 0.0000], [0.2439, 0.2439, 0.2439], [0.5021, 0.5021, 0.5021], [0.7261, 0.7261, 0.7261]],
  "total_magnetization_mub_per_fu": 0.00,
  "space_group": "R3m",
  "e_tot_ev_per_cell": -20.287,
  "e_form_raw_mev_per_atom": -560
}



{
  "formula": "Ba2CaZrCd",
  "functional": "PBEsol",
  "state": "relaxed",
  "cell": [[6.0091, 0.0000, 0.0000], [0.0000, 6.0091, 0.0000], [0.0000, 0.0000, 5.7966]],
  "species": ["Ba", "Ba", "Ca", "Zr", "Cd"],
  "frac_coords": [[0.0000, 0.5000, 0.0000], [0.5000, 0.0000, 0.0000], [0.0000, 0.0000, 0.5000], [0.0000, 0.0000, 0.0000], [0.5000, 0.5000, 0.5000]],
  "total_magnetization_mub_per_fu": 0.00,
  "space_group": "P4/mmm",
  "e_tot_ev_per_cell": -13.164,
  "delta_e_f_ev_per_atom": 0.711
}



{
  "formula": "LiCoTc2",
  "functional": "PBEsol",
  "state": "relaxed",
  "cell": [[2.5233, 0.0000, 0.0000], [0.0000, 3.9706, 0.0000], [-0.9201, 0.0000, 4.8776]],
  "species": ["Li", "Co", "Tc", "Tc"],
  "frac_coords": [[0.0000, 0.0000, 0.0000], [0.0000, 0.0000, 0.5000], [0.4923, 0.5000, 0.2471], [0.5077, 0.5000, 0.7529]],
  "total_magnetization_mub_per_fu": 0.53,
  "space_group": "P2/m",
  "polymorph_energy_ev_per_atom": 0.0000,
  "e_tot_ev_per_cell": -31.234,
  "delta_e_f_ev_per_atom": 0.251
}



{
  "formula": "BaSiAu4",
  "functional": "PBEsol",
  "state": "relaxed",
  "cell": [[0.0000, 3.9739, 3.9739], [3.9739, 0.0000, 3.9739], [3.9739, 3.9739, 0.0000]],
  "species": ["Ba", "Si", "Au", "Au", "Au", "Au"],
  "frac_coords": [[0.0000, 0.0000, 0.0000], [0.2500, 0.2500, 0.2500], [0.1272, 0.6243, 0.6243], [0.6243, 0.1272, 0.6243], [0.6243, 0.6243, 0.1272], [0.6243, 0.6243, 0.6243]],
  "total_magnetization_mub_per_fu": 0.00,
  "space_group": "F-43m",
  "e_tot_ev_per_cell": -24.306,
  "e_form_raw_mev_per_atom": -119
}



{
  "formula": "TaBePt2",
  "functional": "PBEsol",
  "state": "relaxed",
  "cell": [[2.7930, 0.0000, 0.0000], [0.0000, 2.7930, 0.0000], [0.0000, 0.0000, 6.9278]],
  "species": ["Ta", "Be", "Pt", "Pt"],
  "frac_coords": [[0.0000, 0.0000, 0.0000], [0.0000, 0.0000, 0.5000], [0.5000, 0.5000, 0.2914], [0.5000, 0.5000, 0.7086]],
  "total_magnetization_mub_per_fu": 0.00,
  "space_group": "P4/mmm",
  "e_tot_ev_per_cell": -33.478,
  "delta_e_f_ev_per_atom": -0.750
}



{
  "formula": "CdGeTe2",
  "functional": "PBEsol",
  "state": "relaxed",
  "cell": [[0.0000, 3.6478, 3.6478], [3.6478, 0.0000, 3.6478], [3.6478, 3.6478, 0.0000]],
  "species": ["Cd", "Ge", "Te", "Te"],
  "frac_coords": [[0.0000, 0.0000, 0.0000], [0.5000, 0.5000, 0.5000], [0.2500, 0.2500, 0.2500], [0.7500, 0.7500, 0.7500]],
  "total_magnetization_mub_per_fu": 0.00,
  "space_group": "Fm-3m",
  "e_tot_ev_per_cell": -12.710,
  "e_form_raw_mev_per_atom": 120
}